# 1
Entry from Alexandria: a relaxed structure of MgOs2Se (PBE).

Output
ΔE_f (raw), eV/atom: 0.53

Cell lengths 3.065, 3.065, 6.410 Å; angles 90.00, 90.00, 90.00 degrees
Fractional coordinates of all 4 atoms:
1 Mg 0.500 0.500 0.750
2 Os 0.000 0.000 0.016
3 Os 0.000 0.000 0.484
4 Se 0.500 0.500 0.250



# 2
Entry from Alexandria: a relaxed structure of NpSN (PBE).

Output
ΔE_f (raw), eV/atom: -1.20

Cell lengths 3.730, 3.730, 6.684 Å; angles 90.00, 90.00, 90.00 degrees
Each line ends with the local moment (μB).
Fractional coordinates of all 6 atoms:
1 S 0.250 0.250 0.630  -0.16
2 S 0.750 0.750 0.370  -0.16
3 Np 0.250 0.250 0.184  2.39
4 Np 0.750 0.750 0.816  2.39
5 N 0.750 0.250 0.000  -0.20
6 N 0.250 0.750 0.000  -0.20



# 3
Entry from Alexandria: a relaxed structure of LaInGa2 (PBE).

Output
ΔE_f, eV/f.u.: -1.33

Cell lengths 3.435, 5.708, 5.708 Å; angles 117.88, 90.00, 90.00 degrees
Fractional coordinates of all 4 atoms:
1 Ga 0.500 0.945 0.555
2 Ga 0.500 0.445 0.055
3 In 0.500 0.445 0.555
4 La 0.000 0.945 0.055



# 4
Entry from Alexandria: a relaxed structure of La4ZnPCl2 (PBE).

Output
ΔE_f (raw), eV/atom: -1.28

Cell lengths 4.255, 7.323, 7.508 Å; angles 70.39, 90.00, 90.00 degrees
Fractional coordinates of all 8 atoms:
1 La 0.000 0.255 0.259
2 La 0.500 0.264 0.734
3 La 0.500 0.736 0.266
4 La 0.000 0.745 0.741
5 P 0.000 0.500 0.500
6 Zn 0.500 0.500 0.000
7 Cl 0.500 0.000 0.500
8 Cl 0.000 0.000 0.000



# 5
Entry from Alexandria: a relaxed structure of NbGeN (PBE).

Output
ΔE_f (raw), eV/atom: -0.32

Cell lengths 2.963, 2.963, 5.626 Å; angles 90.00, 90.22, 90.00 degrees
Fractional coordinates of all 3 atoms:
1 Ge 0.457 0.500 0.662
2 N 0.992 0.000 0.162
3 Nb 0.495 0.500 0.163



# 6
Entry from Alexandria: a relaxed structure of BePbIN2 (PBE).

Output
ΔE_f (raw), eV/atom: 1.92

Cell lengths 4.441, 4.441, 7.130 Å; angles 90.00, 90.00, 90.00 degrees
Each line ends with the local moment (μB).
Fractional coordinates of all 5 atoms:
1 N 0.500 0.000 0.000  0.84
2 N 0.000 0.500 0.000  0.84
3 I 0.000 0.000 0.500  -0.01
4 Be 0.500 0.500 0.500  0.00
5 Pb 0.000 0.000 0.000  -0.08



# 7
Entry from Alexandria: a relaxed structure of TbSm5TmSc2 (PBE).

Output
ΔE_f, eV/f.u.: 1.57

Cell lengths 5.514, 10.477, 10.355 Å; angles 90.00, 90.00, 105.26 degrees
Fractional coordinates of all 18 atoms:
1 Sm 0.520 0.040 0.243
2 Sm 0.012 0.023 0.015
3 Sm 0.383 0.765 0.024
4 Sm 0.988 0.977 0.515
5 Sm 0.617 0.235 0.524
6 Sm 0.726 0.452 0.818
7 Sm 0.699 0.398 0.210
8 Sm 0.301 0.602 0.710
9 Sm 0.480 0.960 0.743
10 Sm 0.274 0.548 0.318
11 Tm 0.593 0.185 0.952
12 Tm 0.407 0.815 0.452
13 Tb 0.808 0.616 0.515
14 Tb 0.192 0.384 0.015
15 Sc 0.886 0.773 0.242
16 Sc 0.112 0.224 0.305
17 Sc 0.888 0.776 0.805
18 Sc 0.114 0.227 0.742



# 8
Entry from Alexandria: a relaxed structure of RbZrCu2Se4 (PBE).

Output
ΔE_f (raw), eV/atom: -0.68

Cell lengths 6.255, 7.041, 7.041 Å; angles 75.49, 63.63, 63.63 degrees
Fractional coordinates of all 8 atoms:
1 Cu 0.131 0.369 0.369
2 Cu 0.869 0.631 0.631
3 Se 0.431 0.163 0.517
4 Se 0.890 0.517 0.163
5 Se 0.110 0.837 0.483
6 Se 0.569 0.483 0.837
7 Zr 0.500 0.500 0.500
8 Rb 0.000 0.000 0.000



# 9
Entry from Alexandria: a relaxed structure of LiTiW2 (PBE).

Output
ΔE_f, eV/f.u.: 2.46

Cell lengths 4.403, 4.403, 4.403 Å; angles 60.00, 60.00, 60.00 degrees
Fractional coordinates of all 4 atoms:
1 Ti 0.500 0.500 0.500
2 W 0.250 0.250 0.250
3 W 0.750 0.750 0.750
4 Li 0.000 0.000 0.000



# 10
Entry from Alexandria: a relaxed structure of Pa2BiRh2 (PBE).

Output
ΔE_f, eV/f.u.: -3.51

Cell lengths 3.688, 7.719, 7.719 Å; angles 90.00, 90.00, 90.00 degrees
Fractional coordinates of all 10 atoms:
1 Pa 0.500 0.172 0.672
2 Pa 0.500 0.672 0.828
3 Pa 0.500 0.828 0.328
4 Pa 0.500 0.328 0.172
5 Rh 0.000 0.630 0.130
6 Rh 0.000 0.130 0.370
7 Rh 0.000 0.870 0.630
8 Rh 0.000 0.370 0.870
9 Bi 0.000 0.500 0.500
10 Bi 0.000 0.000 0.000



# 11
Entry from Alexandria: a relaxed structure of FeSb2Pb (PBE).

Output
ΔE_f (raw), eV/atom: 0.27

Cell lengths 3.376, 4.135, 7.414 Å; angles 73.20, 90.00, 90.00 degrees
Each line ends with the local moment (μB).
Fractional coordinates of all 4 atoms:
1 Sb 0.500 0.259 0.361  -0.01
2 Sb 0.000 0.924 0.020  -0.02
3 Fe 0.000 0.749 0.380  2.12
4 Pb 0.500 0.568 0.739  0.00



# 12
Entry from Alexandria: a relaxed structure of PmHoCd17 (PBE).

Output
ΔE_f, eV/f.u.: -2.29

Cell lengths 7.665, 7.665, 7.665 Å; angles 82.00, 82.00, 82.00 degrees
Fractional coordinates of all 19 atoms:
1 Cd 0.877 0.345 0.345
2 Cd 0.526 0.977 0.977
3 Cd 0.302 0.002 0.695
4 Cd 0.002 0.302 0.695
5 Cd 0.621 0.621 0.211
6 Cd 0.621 0.211 0.621
7 Cd 0.345 0.877 0.345
8 Cd 0.104 0.104 0.104
9 Cd 0.695 0.302 0.002
10 Cd 0.211 0.621 0.621
11 Cd 0.345 0.345 0.877
12 Cd 0.908 0.908 0.908
13 Cd 0.977 0.526 0.977
14 Cd 0.002 0.695 0.302
15 Cd 0.302 0.695 0.002
16 Cd 0.977 0.977 0.526
17 Cd 0.695 0.002 0.302
18 Ho 0.324 0.324 0.324
19 Pm 0.669 0.669 0.669



Taking the records one at a time from the top gives volume values of 60.2, 93.0, 98.9, 220.4, 49.4, 140.7, 577.2, 248.3, 60.4, 219.7, 99.1, 438.3 Å³/cell.